[1]
# CaCd2BS GGA-PBE relaxed
data_CaCd2BS
_cell_length_a 4.3926
_cell_length_b 4.3926
_cell_length_c 5.6652
_cell_angle_alpha 90.00
_cell_angle_beta 90.00
_cell_angle_gamma 90.00
_symmetry_space_group_name_H-M 'P 4/m m m'
_symmetry_Int_Tables_number 123
_symmetry_space_group_name_Hall '-P 4 2'
loop_
_atom_site_label
_atom_site_fract_x
_atom_site_fract_y
_atom_site_fract_z
Ca1 0.0000 0.0000 0.0000
Cd1 0.0000 0.5000 0.5000
B1 0.0000 0.0000 0.5000
S1 0.5000 0.5000 0.0000
# D(E_F) = 0.16 states/eV per atom
# energy relative to the elements, uncorrected = -84 kJ/mol of formula units
# electronic total energy = -3.10 eV/atom

=====

[2]
# NaBiO2 GGA-PBE relaxed
data_NaBiO2
_cell_length_a 5.3429
_cell_length_b 5.3429
_cell_length_c 10.8604
_cell_angle_alpha 90.00
_cell_angle_beta 90.00
_cell_angle_gamma 90.00
_symmetry_space_group_name_H-M 'I -4 2 d'
_symmetry_Int_Tables_number 122
_symmetry_space_group_name_Hall 'I -4 2bw'
loop_
_atom_site_label
_atom_site_fract_x
_atom_site_fract_y
_atom_site_fract_z
Na1 0.0000 0.0000 0.0000
Bi1 0.0000 0.0000 0.5000
O1 0.2297 0.2500 0.6250
# D(E_F) = 0.00 states/eV per atom
# energy relative to the elements, uncorrected = -482 kJ/mol of formula units
# electronic total energy = -5.03 eV/atom

=====

[3]
# NaTbZnSn GGA-PBE relaxed
data_NaTbZnSn
_cell_length_a 7.3134
_cell_length_b 7.3134
_cell_length_c 7.3134
_cell_angle_alpha 90.00
_cell_angle_beta 90.00
_cell_angle_gamma 90.00
_symmetry_space_group_name_H-M 'F -4 3 m'
_symmetry_Int_Tables_number 216
_symmetry_space_group_name_Hall 'F -4 2 3'
loop_
_atom_site_label
_atom_site_fract_x
_atom_site_fract_y
_atom_site_fract_z
Na1 0.0000 0.0000 0.0000
Tb1 0.0000 0.0000 0.5000
Zn1 0.2500 0.2500 0.7500
Sn1 0.2500 0.2500 0.2500
# D(E_F) = 0.32 states/eV per atom
# electronic total energy = -3.12 eV/atom
# formation enthalpy at 0 K = -0.311 eV/atom

=====

[4]
# Th2MgAs3Rh4 GGA-PBE relaxed
data_Th2MgAs3Rh4
_cell_length_a 4.0657
_cell_length_b 4.0657
_cell_length_c 11.3071
_cell_angle_alpha 90.00
_cell_angle_beta 90.00
_cell_angle_gamma 90.00
_symmetry_space_group_name_H-M 'P -4 m 2'
_symmetry_Int_Tables_number 115
loop_
_symmetry_equiv_pos_as_xyz
'x,y,z'
'y,-x,-z'
'-x,-y,z'
'-y,x,-z'
'-x,y,z'
'-y,-x,-z'
'x,-y,z'
'y,x,-z'
loop_
_atom_site_label
_atom_site_fract_x
_atom_site_fract_y
_atom_site_fract_z
Th1 0.0000 0.5000 0.2399
Mg1 0.0000 0.0000 0.5000
As1 0.0000 0.5000 0.8708
As2 0.5000 0.5000 0.5000
Rh1 0.0000 0.0000 0.0000
Rh2 0.0000 0.5000 0.6559
Rh3 0.5000 0.5000 0.0000
# D(E_F) = 0.43 states/eV per atom
# electronic total energy = -6.90 eV/atom
# formation enthalpy at 0 K = -0.922 eV/atom

=====

[5]
# LaSc2Ni2 GGA-PBE relaxed
data_LaSc2Ni2
_cell_length_a 7.4517
_cell_length_b 7.4517
_cell_length_c 3.6017
_cell_angle_alpha 90.00
_cell_angle_beta 90.00
_cell_angle_gamma 90.00
_symmetry_space_group_name_H-M 'P 4/m b m'
_symmetry_Int_Tables_number 127
_symmetry_space_group_name_Hall '-P 4 2ab'
loop_
_atom_site_label
_atom_site_fract_x
_atom_site_fract_y
_atom_site_fract_z
La1 0.0000 0.0000 0.0000
Sc1 0.1520 0.3480 0.5000
Ni1 0.1230 0.6230 0.0000
# D(E_F) = 1.24 states/eV per atom
# electronic total energy = -6.08 eV/atom
# offset from the most stable computed form = 47 meV/atom
# formation enthalpy at 0 K = -0.252 eV/atom

=====

[6]
# La3Pm2In3 GGA-PBE relaxed
data_La3Pm2In3
_cell_length_a 9.5151
_cell_length_b 9.5151
_cell_length_c 6.7074
_cell_angle_alpha 90.00
_cell_angle_beta 90.00
_cell_angle_gamma 120.00
_symmetry_space_group_name_H-M 'P 63/m c m'
_symmetry_Int_Tables_number 193
_symmetry_space_group_name_Hall '-P 6c 2'
loop_
_atom_site_label
_atom_site_fract_x
_atom_site_fract_y
_atom_site_fract_z
La1 0.0000 0.2410 0.2500
Pm1 0.3333 0.6667 0.0000
In1 0.0000 0.4020 0.7500
# D(E_F) = 1.55 states/eV per atom
# electronic total energy = -4.42 eV/atom
# offset from the most stable computed form = 12 meV/atom
# formation enthalpy at 0 K = -0.362 eV/atom

=====

[7]
# NdZnGaCu2 GGA-PBE relaxed
data_NdZnGaCu2
_cell_length_a 4.0641
_cell_length_b 4.2796
_cell_length_c 10.4438
_cell_angle_alpha 90.00
_cell_angle_beta 90.00
_cell_angle_gamma 90.00
_symmetry_space_group_name_H-M 'I m m 2'
_symmetry_Int_Tables_number 44
loop_
_symmetry_equiv_pos_as_xyz
'x,y,z'
'-x,-y,z'
'-x,y,z'
'x,-y,z'
'x+1/2,y+1/2,z+1/2'
'-x+1/2,-y+1/2,z+1/2'
'-x+1/2,y+1/2,z+1/2'
'x+1/2,-y+1/2,z+1/2'
loop_
_atom_site_label
_atom_site_fract_x
_atom_site_fract_y
_atom_site_fract_z
Nd1 0.0000 0.0000 0.0000
Zn1 0.0000 0.5000 0.7533
Ga1 0.0000 0.0000 0.6192
Cu1 0.0000 0.0000 0.3873
Cu2 0.0000 0.5000 0.2580
# D(E_F) = 0.73 states/eV per atom
# electronic total energy = -3.75 eV/atom
# formation enthalpy at 0 K = -0.295 eV/atom

=====

[8]
# Sc4Tl3Cd2 GGA-PBE relaxed
data_Sc4Tl3Cd2
_cell_length_a 8.6119
_cell_length_b 4.9546
_cell_length_c 9.9568
_cell_angle_alpha 90.00
_cell_angle_beta 90.27
_cell_angle_gamma 90.00
_symmetry_space_group_name_H-M 'C 1 2/m 1'
_symmetry_Int_Tables_number 12
loop_
_symmetry_equiv_pos_as_xyz
'x,y,z'
'-x,-y,-z'
'-x,y,-z'
'x,-y,z'
'x+1/2,y+1/2,z'
'-x+1/2,-y+1/2,-z'
'-x+1/2,y+1/2,-z'
'x+1/2,-y+1/2,z'
loop_
_atom_site_label
_atom_site_fract_x
_atom_site_fract_y
_atom_site_fract_z
Sc1 0.9996 0.0000 0.1751
Sc2 0.1665 0.5000 0.3882
Tl1 0.0000 0.0000 0.5000
Tl2 0.1664 0.5000 0.0706
Cd1 0.1668 0.5000 0.7048
# D(E_F) = 1.04 states/eV per atom
# electronic total energy = -3.97 eV/atom
# formation enthalpy at 0 K = -0.168 eV/atom

=====

[9]
# VCrSb GGA-PBE relaxed
data_VCrSb
_cell_length_a 3.1479
_cell_length_b 3.1479
_cell_length_c 11.6087
_cell_angle_alpha 90.00
_cell_angle_beta 90.00
_cell_angle_gamma 120.00
_symmetry_space_group_name_H-M 'P -6 m 2'
_symmetry_Int_Tables_number 187
_symmetry_space_group_name_Hall 'P -6 2'
loop_
_atom_site_label
_atom_site_fract_x
_atom_site_fract_y
_atom_site_fract_z
V1 0.0000 0.0000 0.0000
V2 0.3333 0.6667 0.5000
Cr1 0.3333 0.6667 0.1501
Sb1 0.0000 0.0000 0.3248
# D(E_F) = 1.02 states/eV per atom
# energy relative to the elements, uncorrected = 117 kJ/mol of formula units
# electronic total energy = -7.22 eV/atom

=====

[10]
# AcMg3Sn3 GGA-PBE relaxed
data_AcMg3Sn3
_cell_length_a 7.3992
_cell_length_b 7.3992
_cell_length_c 25.4371
_cell_angle_alpha 90.00
_cell_angle_beta 90.00
_cell_angle_gamma 120.00
_symmetry_space_group_name_H-M 'R -3'
_symmetry_Int_Tables_number 148
_symmetry_space_group_name_Hall '-R 3'
loop_
_atom_site_label
_atom_site_fract_x
_atom_site_fract_y
_atom_site_fract_z
Ac1 0.0000 0.0000 0.1782
Mg1 0.0481 0.2669 0.6982
Sn1 0.0602 0.4546 0.2439
# D(E_F) = 0.49 states/eV per atom
# electronic total energy = -3.19 eV/atom
# offset from the most stable computed form = 81 meV/atom
# formation enthalpy at 0 K = -0.207 eV/atom

=====

[11]
# MnTl2Fe GGA-PBE relaxed
data_MnTl2Fe
_cell_length_a 4.3637
_cell_length_b 4.3637
_cell_length_c 4.0002
_cell_angle_alpha 90.00
_cell_angle_beta 90.00
_cell_angle_gamma 90.00
_symmetry_space_group_name_H-M 'P 4/m m m'
_symmetry_Int_Tables_number 123
_symmetry_space_group_name_Hall '-P 4 2'
loop_
_atom_site_label
_atom_site_fract_x
_atom_site_fract_y
_atom_site_fract_z
Mn1 0.0000 0.0000 0.0000
Tl1 0.0000 0.5000 0.5000
Fe1 0.5000 0.5000 0.0000
# D(E_F) = 0.59 states/eV per atom
# electronic total energy = -4.98 eV/atom
# offset from the most stable computed form = 133 meV/atom
# formation enthalpy at 0 K = 0.611 eV/atom

=====

[12]
# Nd2Y3HoSe6 GGA-PBE relaxed
data_Nd2Y3HoSe6
_cell_length_a 18.0017
_cell_length_b 4.1083
_cell_length_c 8.3155
_cell_angle_alpha 90.00
_cell_angle_beta 103.45
_cell_angle_gamma 90.00
_symmetry_space_group_name_H-M 'C 1 2/m 1'
_symmetry_Int_Tables_number 12
loop_
_symmetry_equiv_pos_as_xyz
'x,y,z'
'-x,-y,-z'
'-x,y,-z'
'x,-y,z'
'x+1/2,y+1/2,z'
'-x+1/2,-y+1/2,-z'
'-x+1/2,y+1/2,-z'
'x+1/2,-y+1/2,z'
loop_
_atom_site_label
_atom_site_fract_x
_atom_site_fract_y
_atom_site_fract_z
Nd1 0.1688 0.0000 0.3365
Y1 0.0000 0.5000 0.5000
Y2 0.1707 0.0000 0.8334
Ho1 0.0000 0.5000 0.0000
Se1 0.0037 0.0000 0.7546
Se2 0.1626 0.5000 0.5905
Se3 0.1639 0.5000 0.0731
# D(E_F) = 0.48 states/eV per atom
# energy relative to the elements, uncorrected = -2064 kJ/mol of formula units
# electronic total energy = -6.32 eV/atom